No. 1
ZrCuPO | GGA-PBE | relaxed

## Properties
Formation energy from raw total energies = -1.57 eV/atom
Magnetic moment = 0.00 μB/f.u.

Unit cell a=3.613 b=3.613 c=8.169 alpha=90.00 beta=90.00 gamma=90.00
Space group P4/nmm (No. 129, origin choice 2)
One atom of each set of equivalent atoms:
Zr 0.250 0.250 0.156 (multiplicity 2)
Cu 0.250 0.750 0.500 (multiplicity 2)
P 0.250 0.250 0.692 (multiplicity 2)
O 0.250 0.750 0.000 (multiplicity 2)


No. 2
Pa4Cu6O19 | GGA-PBE | relaxed

## Properties
Formation energy from raw total energies = -1.81 eV/atom
Magnetic moment = 0.00 μB/f.u.

Unit cell a=8.669 b=8.669 c=8.669 alpha=90.00 beta=90.00 gamma=90.00
Space group I-43m (No. 217)
One atom of each set of equivalent atoms:
Pa 0.152 0.152 0.152 (multiplicity 8)
Cu 0.000 0.250 0.500 (multiplicity 12)
O 0.000 0.000 0.000 (multiplicity 2)
O 0.000 0.000 0.286 (multiplicity 12)
O 0.049 0.291 0.709 (multiplicity 24)


No. 3
PaCu7O12 | GGA-PBE | relaxed

## Properties
Formation energy from raw total energies = -0.98 eV/atom
Magnetic moment = 0.00 μB/f.u.

Unit cell a=7.361 b=7.361 c=7.361 alpha=90.00 beta=90.00 gamma=90.00
Space group Im-3 (No. 204)
One atom of each set of equivalent atoms:
Pa 0.000 0.000 0.000 (multiplicity 2)
Cu 0.000 0.000 0.500 (multiplicity 6)
Cu 0.250 0.250 0.250 (multiplicity 8)
O 0.000 0.300 0.165 (multiplicity 24)


No. 4
Pa2CuO7 | GGA-PBE | relaxed

## Properties
Formation energy from raw total energies = -2.26 eV/atom
Magnetic moment = 1.05 μB/f.u.

Unit cell a=11.784 b=6.079 c=8.500 alpha=90.00 beta=121.48 gamma=90.00
Space group C2/c (No. 15)
One atom of each set of equivalent atoms:
Pa 0.209 0.017 0.355 (multiplicity 8)
Cu 0.000 0.421 0.750 (multiplicity 4)
O 0.000 0.111 0.750 (multiplicity 4)
O 0.130 0.267 0.465 (multiplicity 8)
O 0.142 0.267 0.135 (multiplicity 8)
O 0.185 0.381 0.840 (multiplicity 8)


No. 5
Pa2Cu2O7 | GGA-PBE | relaxed

## Properties
Formation energy from raw total energies = -2.27 eV/atom
Magnetic moment = 2.01 μB/f.u.

Unit cell a=6.902 b=9.382 c=5.403 alpha=90.00 beta=103.91 gamma=90.00
Space group C2/m (No. 12)
One atom of each set of equivalent atoms:
Pa 0.000 0.189 0.000 (multiplicity 4)
Cu 0.230 0.500 0.402 (multiplicity 4)
O 0.000 0.500 0.500 (multiplicity 2)
O 0.098 0.000 0.233 (multiplicity 4)
O 0.248 0.325 0.196 (multiplicity 8)


No. 6
Pa4CuO10 | GGA-PBE | relaxed

## Properties
Formation energy from raw total energies = -3.24 eV/atom
Magnetic moment = 0.94 μB/f.u.

Unit cell a=8.537 b=8.537 c=5.401 alpha=90.00 beta=90.00 gamma=90.00
Space group I4/m (No. 87)
One atom of each set of equivalent atoms:
Pa 0.103 0.296 0.000 (multiplicity 8)
Cu 0.000 0.000 0.500 (multiplicity 2)
O 0.000 0.500 0.250 (multiplicity 4)
O 0.102 0.790 0.240 (multiplicity 16)